Entry 1:
BaAl2Ge: relaxed, PBE.

The value obtained for the mass density is 3.679 g cm⁻³. The total energy comes out at -3.61 eV per atom. The calculated volume comes out at 29.8 Å³ per atom. The calculated formation energy comes out at -0.11 eV/atom. For the size of the total moment, the calculation gives 0.00 μB/cell.

It has space group Cmmm (No. 65), with a = 5.112 Å, b = 9.325 Å, c = 4.998 Å, α = 90.00°, β = 90.00° and γ = 90.00°. Symmetry generates all atoms from Ba at (0.000, 0.000, 0.000), Al at (0.250, 0.250, 0.500) and Ge at (0.000, 0.500, 0.500).

---

Entry 2:
BaAlGe2: relaxed, PBE.

The value obtained for the mass density is 4.951 g cm⁻³. The total energy comes out at -4.03 eV per atom. The calculated volume comes out at 26.0 Å³ per atom. The calculated formation energy comes out at -0.30 eV/atom. For the size of the total moment, the calculation gives 0.00 μB/cell.

It has space group R-3m (No. 166, hexagonal axes), with a = 4.5116 Å, b = 4.5116 Å, c = 17.6711 Å, α = 90.00°, β = 90.00° and γ = 120.00°. Symmetry generates all atoms from Ba at (0.0000, 0.0000, 0.0000), Al at (0.0000, 0.0000, 0.5000) and Ge at (0.0000, 0.0000, 0.2081).

---

Entry 3:
BaAlGe2: relaxed, PBE.

The value obtained for the mass density is 4.343 g cm⁻³. The total energy comes out at -3.94 eV per atom. The calculated volume comes out at 29.6 Å³ per atom. The calculated formation energy comes out at -0.22 eV/atom. For the size of the total moment, the calculation gives 0.00 μB/cell.

It has space group Amm2 (No. 38), with a = 4.853 Å, b = 6.159 Å, c = 7.920 Å, α = 90.00°, β = 90.00° and γ = 90.00°. Symmetry generates all atoms from Ba at (0.000, 0.000, 0.000), Al at (0.500, 0.000, 0.575) and Ge at (0.500, 0.199, 0.286).

---

Entry 4:
Ba4AlGe3: relaxed, PBE.

The value obtained for the mass density is 4.736 g cm⁻³. The total energy comes out at -3.66 eV per atom. The calculated volume comes out at 34.8 Å³ per atom. The calculated formation energy comes out at -0.50 eV/atom. For the size of the total moment, the calculation gives 0.00 μB/cell.

It has space group Pmm2 (No. 25), with a = 4.372 Å, b = 5.089 Å, c = 12.516 Å, α = 90.00°, β = 90.00° and γ = 90.00°. Symmetry generates all atoms from Ba at (0.000, 0.000, 0.000), Ba at (0.000, 0.500, 0.487), Ba at (0.500, 0.000, 0.713), Ba at (0.500, 0.500, 0.219), Al at (0.000, 0.500, 0.803), Ge at (0.000, 0.000, 0.291), Ge at (0.500, 0.000, 0.416) and Ge at (0.500, 0.500, 0.921).

---

Entry 5:
Ba5Al2Ge5: relaxed, PBE.

The value obtained for the mass density is 4.734 g cm⁻³. The total energy comes out at -3.77 eV per atom. The calculated volume comes out at 32.3 Å³ per atom. The calculated formation energy comes out at -0.42 eV/atom. For the size of the total moment, the calculation gives 0.00 μB/cell.

It has space group C2/m (No. 12), with a = 17.290 Å, b = 4.229 Å, c = 12.741 Å, α = 90.00°, β = 123.78° and γ = 90.00°. Symmetry generates all atoms from Ba at (0.000, 0.000, 0.000), Ba at (0.122, 0.500, 0.815), Ba at (0.183, 0.500, 0.582), Al at (0.118, 0.500, 0.259), Ge at (0.000, 0.000, 0.500), Ge at (0.074, 0.000, 0.326) and Ge at (0.194, 0.500, 0.136).

---

Entry 6:
Ba2AlGe3: relaxed, PBE.

The value obtained for the mass density is 5.006 g cm⁻³. The total energy comes out at -4.04 eV per atom. The calculated volume comes out at 28.7 Å³ per atom. The calculated formation energy comes out at -0.46 eV/atom. For the energy above the most stable polymorph in this dataset, the calculation gives 0.0 meV per atom. For the size of the total moment, the calculation gives 0.00 μB/cell.

It has space group Pmm2 (No. 25), with a = 4.430 Å, b = 5.043 Å, c = 7.714 Å, α = 90.00°, β = 90.00° and γ = 90.00°. Symmetry generates all atoms from Ba at (0.000, 0.000, 0.000), Ba at (0.500, 0.000, 0.479), Al at (0.000, 0.500, 0.659), Ge at (0.000, 0.500, 0.328), Ge at (0.500, 0.500, 0.155) and Ge at (0.500, 0.500, 0.818).